<a>
Material: Rb2NdAgBr6
Method: DFT, PBE
State: relaxed

Computed properties:
* ρ: 3.96 g/cm³

Structure (POSCAR):
```
Rb2NdAgBr6
1.0
0.000 5.742 5.742
5.742 0.000 5.742
5.742 5.742 0.000
Rb Nd Ag Br
2 1 1 6
Direct
0.250 0.250 0.250
0.750 0.750 0.750
0.000 0.000 0.000
0.500 0.500 0.500
0.251 0.251 0.749
0.251 0.749 0.251
0.251 0.749 0.749
0.749 0.251 0.251
0.749 0.251 0.749
0.749 0.749 0.251
```

***

<b>
Material: Rb2NdAgBr6
Method: DFT, PBE
State: relaxed

Computed properties:
* ρ: 4.11 g/cm³

Structure (POSCAR):
```
Rb2NdAgBr6
1.0
7.934 0.000 0.000
0.000 8.234 0.000
-7.859 0.000 11.150
Rb Nd Ag Br
4 2 2 12
Direct
0.229 0.066 0.249
0.229 0.434 0.749
0.771 0.566 0.251
0.771 0.934 0.751
0.500 0.000 0.000
0.500 0.500 0.500
0.000 0.000 0.500
0.000 0.500 0.000
0.162 0.201 0.956
0.162 0.299 0.456
0.259 0.709 0.958
0.259 0.791 0.458
0.331 0.017 0.746
0.331 0.483 0.246
0.669 0.517 0.754
0.669 0.983 0.254
0.741 0.209 0.542
0.741 0.291 0.042
0.838 0.701 0.544
0.838 0.799 0.044
```

***

Stability summary - winner: <b>; margin: 0.025 eV/atom.